1.
VASP calculation (PBE-GGA) on a relaxed structure of BeVH.

Unit cell a=2.633 b=2.633 c=6.770 alpha=90.00 beta=90.00 gamma=90.00
Element x y z (fractional)
Be 0.000 0.500 0.079
Be 0.500 0.000 0.921
V 0.000 0.500 0.671
V 0.500 0.000 0.329
H 0.000 0.500 0.381
H 0.500 0.000 0.619

Total DFT energy (no corrections) = -33.0 eV/cell
Space group = P4/nmm
Total magnetization = 0.00 Bohr magnetons per cell

---

2.
VASP calculation (PBE-GGA) on a relaxed structure of Be2VH.

Unit cell a=2.553 b=2.553 c=6.928 alpha=79.38 beta=79.38 gamma=60.00
Element x y z (fractional)
Be 0.070 0.070 0.791
Be 0.930 0.930 0.209
H 0.000 0.000 0.000
V 0.500 0.500 0.500

Total DFT energy (no corrections) = -18.8 eV/cell
Space group = R-3m
Total magnetization = 0.00 Bohr magnetons per cell

---

3.
VASP calculation (PBE-GGA) on a relaxed structure of BeVH.

Unit cell a=7.348 b=3.032 c=4.550 alpha=70.54 beta=36.15 gamma=90.00
Element x y z (fractional)
Be 0.088 0.088 0.825
Be 0.749 0.249 0.502
V 0.488 0.764 0.472
V 0.039 0.764 0.472
H 0.299 0.432 0.135
H 0.566 0.432 0.135

Total DFT energy (no corrections) = -32.6 eV/cell
Space group = Imm2
Total magnetization = 0.00 Bohr magnetons per cell

---

4.
VASP calculation (PBE-GGA) on a relaxed structure of BeVH.

Unit cell a=10.704 b=4.577 c=4.577 alpha=140.46 beta=152.50 gamma=27.50
Element x y z (fractional)
Be 0.744 0.599 0.401
Be 0.609 0.430 0.570
V 0.298 0.499 0.501
V 0.076 0.484 0.516
H 0.787 0.995 0.005
H 0.197 0.979 0.021

Total DFT energy (no corrections) = -32.4 eV/cell
Space group = Cm
Total magnetization = 0.00 Bohr magnetons per cell

---

5.
VASP calculation (PBE-GGA) on a relaxed structure of BeVH.

Unit cell a=5.944 b=3.285 c=4.668 alpha=90.00 beta=90.00 gamma=90.00
Element x y z (fractional)
Be 0.963 0.250 0.622
Be 0.537 0.750 0.122
Be 0.037 0.750 0.378
Be 0.463 0.250 0.878
V 0.327 0.250 0.373
V 0.173 0.750 0.873
V 0.673 0.750 0.627
V 0.827 0.250 0.127
H 0.134 0.250 0.049
H 0.366 0.750 0.549
H 0.866 0.750 0.951
H 0.634 0.250 0.451

Total DFT energy (no corrections) = -67.5 eV/cell
Space group = Pnma
Total magnetization = 0.00 Bohr magnetons per cell

---

6.
VASP calculation (PBE-GGA) on a relaxed structure of BeV6H.

Unit cell a=4.292 b=4.865 c=4.780 alpha=84.14 beta=92.74 gamma=69.41
Element x y z (fractional)
Be 0.500 0.500 0.500
V 0.066 0.364 0.778
V 0.778 0.934 0.646
V 0.613 0.229 0.078
V 0.222 0.066 0.354
V 0.934 0.636 0.222
V 0.387 0.771 0.922
H 0.000 0.000 0.000

Total DFT energy (no corrections) = -61.5 eV/cell
Space group = P-1
Total magnetization = 0.00 Bohr magnetons per cell

---

7.
VASP calculation (PBE-GGA) on a relaxed structure of BeVH.

Unit cell a=4.415 b=4.349 c=2.504 alpha=90.97 beta=91.38 gamma=101.32
Element x y z (fractional)
Be 0.811 0.809 0.503
Be 0.189 0.191 0.497
V 0.300 0.725 0.023
V 0.700 0.275 0.977
H 0.500 0.500 0.500
H 0.000 0.500 0.500

Total DFT energy (no corrections) = -32.8 eV/cell
Space group = P-1
Total magnetization = 0.00 Bohr magnetons per cell

---

8.
VASP calculation (PBE-GGA) on a relaxed structure of Be2VH.

Unit cell a=4.508 b=4.508 c=4.510 alpha=60.01 beta=60.01 gamma=90.00
Element x y z (fractional)
Be 0.375 0.125 0.250
Be 0.375 0.625 0.250
Be 0.375 0.625 0.750
Be 0.875 0.625 0.750
V 0.000 0.000 0.000
V 0.750 0.250 0.500
H 0.500 0.500 0.000
H 0.250 0.750 0.500

Total DFT energy (no corrections) = -38.2 eV/cell
Space group = Fd-3m
Total magnetization = 0.00 Bohr magnetons per cell